# GGA-PBE La4Sm5Sc2, optimized geometry
data_La4Sm5Sc2
_cell_length_a 12.151
_cell_length_b 12.151
_cell_length_c 12.151
_cell_angle_alpha 163.52
_cell_angle_beta 132.64
_cell_angle_gamma 50.48
_space_group_name_H-M_alt 'P 1'
_space_group_IT_number 1
loop_
_space_group_symop_operation_xyz
'x,y,z'
loop_
_atom_site_label
_atom_site_type_symbol
_atom_site_fract_x
_atom_site_fract_y
_atom_site_fract_z
La1 La 0.094 0.094 0.000
La2 La 0.214 0.500 0.714
La3 La 0.786 0.500 0.286
La4 La 0.906 0.906 0.000
Sm1 Sm 0.125 0.339 0.785
Sm2 Sm 0.446 0.661 0.785
Sm3 Sm 0.500 0.000 0.500
Sm4 Sm 0.554 0.339 0.215
Sm5 Sm 0.875 0.661 0.215
Sc1 Sc 0.229 0.229 0.000
Sc2 Sc 0.771 0.771 0.000
# Polymorph energy (0 for the lowest one) ... 210 meV per atom
# Magnetization ... 0.00 μB/f.u.
# Mass density ... 6.2 g/cm3
# Calculated formation energy ... 0.28 eV/atom